# 1
Entry from the Alexandria database: a relaxed structure of SmGaRu2 (PBE).

Properties
N(E_F) = 17.4 states/eV/cell
M_tot = 0.11 μB/f.u.
density = 8.24 Mg/m³
energy of formation from the pure elements = 1.0 eV/f.u.

Lattice parameters (Å, degrees): 5.622 6.515 9.293 90.00 90.00 90.00
Fractional positions:
Sm 0.250 0.000 0.089
Sm 0.250 0.500 0.279
Sm 0.750 0.000 0.911
Sm 0.750 0.500 0.721
Ga 0.250 0.000 0.748
Ga 0.250 0.500 0.788
Ga 0.750 0.000 0.252
Ga 0.750 0.500 0.212
Ru 0.000 0.000 0.500
Ru 0.000 0.500 0.000
Ru 0.250 0.312 0.552
Ru 0.250 0.688 0.552
Ru 0.500 0.000 0.500
Ru 0.500 0.500 0.000
Ru 0.750 0.312 0.448
Ru 0.750 0.688 0.448

---

# 2
Entry from the Alexandria database: a relaxed structure of Sm3Ga3Ru (PBE).

Properties
N(E_F) = 11.0 states/eV/cell
M_tot = 0.00 μB/f.u.
density = 7.80 Mg/m³
energy of formation from the pure elements = -3.9 eV/f.u.

Lattice parameters (Å, degrees): 5.804 5.804 14.628 109.53 109.53 44.88
Fractional positions:
Sm 0.025 0.025 0.270
Sm 0.176 0.176 0.574
Sm 0.348 0.348 0.882
Sm 0.652 0.652 0.118
Sm 0.824 0.824 0.426
Sm 0.975 0.975 0.730
Ga 0.093 0.093 0.953
Ga 0.317 0.317 0.263
Ga 0.466 0.466 0.578
Ga 0.534 0.534 0.422
Ga 0.683 0.683 0.737
Ga 0.907 0.907 0.047
Ru 0.328 0.328 0.088
Ru 0.672 0.672 0.912